Entry 1:
VASP calculation (PBE) on a geometry-optimized Fe3N structure.

Geometry as extended XYZ:
```
4
Lattice="3.485 0.000 0.000 0.000 3.485 0.000 0.000 0.000 3.485" Properties=species:S:1:pos:R:3 pbc="T T T"
Fe 0.000 0.000 1.742
Fe 0.000 1.742 0.000
Fe 1.742 0.000 0.000
N 1.742 1.742 1.742
```

Electronic total energy ... -0.27632 hartree per atom
Total magnetic moment ... 8.91 Bohr magnetons per cell

Entry 2:
VASP calculation (PBE) on a geometry-optimized Cu2Ag3 structure.

Geometry as extended XYZ:
```
10
Lattice="9.469 -1.425 0.000 9.469 1.425 0.000 -0.885 0.000 5.770" Properties=species:S:1:pos:R:3 pbc="T T T"
Cu 0.000 0.000 0.000
Cu -0.350 0.000 2.573
Cu 3.787 0.000 0.397
Cu 7.654 0.000 1.051
Ag 3.350 0.000 3.371
Ag 7.290 0.000 3.914
Ag 10.541 0.000 4.462
Ag 11.182 0.000 1.529
Ag 14.979 0.000 2.115
Ag 14.560 0.000 5.138
```

Calculated formation energy ... 0.08 eV per atom
Polymorph energy (0 for the lowest one) ... 45 meV per atom

Entry 3:
VASP calculation (PBE) on a geometry-optimized TbNd5S6 structure.

Geometry as extended XYZ:
```
12
Lattice="3.499 -6.076 0.000 3.499 6.076 0.000 -2.344 0.000 6.589" Properties=species:S:1:pos:R:3 pbc="T T T"
Tb 0.000 0.000 0.000
Nd 2.327 4.007 3.295
Nd 3.499 2.033 0.000
Nd 2.327 0.000 3.295
Nd 3.499 -2.033 0.000
Nd 2.327 -4.007 3.295
S 1.136 1.976 1.611
S -0.063 0.000 4.960
S 1.136 -1.976 1.611
S 3.517 1.976 4.979
S 4.716 0.000 1.630
S 3.517 -1.976 4.979
```

Electronic total energy ... -0.23731 hartree per atom
Total magnetic moment ... 0.02 Bohr magnetons per cell

Entry 4:
VASP calculation (PBE) on a geometry-optimized Gd2TmAl3CuSn2 structure.

Geometry as extended XYZ:
```
9
Lattice="4.291 0.000 0.000 0.000 6.296 3.666 0.000 -6.296 3.666" Properties=species:S:1:pos:R:3 pbc="T T T"
Gd 0.000 -3.858 3.666
Gd 0.000 3.858 3.666
Tm 0.000 0.000 4.258
Al 2.146 -1.409 2.251
Al 2.146 1.409 2.251
Al 2.146 0.000 7.147
Cu 0.000 0.000 1.481
Sn 2.146 -2.065 5.086
Sn 2.146 2.065 5.086
```

Electronic total energy ... -0.17018 hartree per atom
Total magnetic moment ... 0.00 Bohr magnetons per cell

Entry 5:
VASP calculation (PBE) on a geometry-optimized Sc2PdPt structure.

Geometry as extended XYZ:
```
4
Lattice="4.656 0.000 0.000 0.000 4.656 0.000 0.000 0.000 3.326" Properties=species:S:1:pos:R:3 pbc="T T T"
Sc 0.000 2.328 0.000
Sc 2.328 0.000 0.000
Pd 0.000 0.000 1.663
Pt 2.328 2.328 1.663
```

Total magnetic moment ... 0.00 Bohr magnetons per cell
Calculated formation energy ... -1.09 eV per atom
Polymorph energy (0 for the lowest one) ... 8 meV per atom

Entry 6:
VASP calculation (PBE) on a geometry-optimized Lu4TlZnN2 structure.

Geometry as extended XYZ:
```
8
Lattice="3.425 0.000 0.000 -1.713 2.966 0.000 0.000 0.000 14.874" Properties=species:S:1:pos:R:3 pbc="T T T"
Lu 0.000 0.000 2.248
Lu 0.000 0.000 12.626
Lu 0.000 1.978 4.867
Lu 0.000 1.978 10.006
Tl 0.000 0.000 7.437
Zn 0.000 1.978 0.000
N 1.713 0.989 3.644
N 1.713 0.989 11.230
```

Electronic total energy ... -0.21300 hartree per atom
Total magnetic moment ... 0.00 Bohr magnetons per cell